# 1
DFT (GGA-PBE) results for a geometry-optimized KDyPb2F8 structure.

CIF file:
```
data_KDyPb2F8
_cell_length_a 4.0982
_cell_length_b 5.9868
_cell_length_c 8.3104
_cell_angle_alpha 90.01
_cell_angle_beta 90.00
_cell_angle_gamma 90.00
_space_group_name_H-M_alt 'P 1'
_space_group_IT_number 1
loop_
_space_group_symop_operation_xyz
'x,y,z'
loop_
_atom_site_label
_atom_site_type_symbol
_atom_site_fract_x
_atom_site_fract_y
_atom_site_fract_z
Pb1 Pb 0.5000 0.5000 0.7432
F1 F 0.0000 0.2392 0.7875
F2 F 0.5000 0.2060 0.0000
F3 F 0.0000 0.7608 0.7875
F4 F 0.5000 0.7240 0.5000
F5 F 0.0000 0.2392 0.2125
Dy1 Dy 0.0000 0.0000 0.0000
K1 K 0.0000 0.0000 0.5000
F6 F 0.5000 0.7940 0.0000
F7 F 0.5000 0.2760 0.5000
F8 F 0.0000 0.7608 0.2125
Pb2 Pb 0.5000 0.5000 0.2568
```

Results
E_form (uncorrected): -3.054 eV/atom
space group: Pmmm, No. 47

***

# 2
DFT (GGA-PBE) results for a geometry-optimized KDyPbF6 structure.

CIF file:
```
data_KDyPbF6
_cell_length_a 5.6024
_cell_length_b 5.6024
_cell_length_c 11.4970
_cell_angle_alpha 90.00
_cell_angle_beta 90.00
_cell_angle_gamma 90.00
_space_group_name_H-M_alt 'P 1'
_space_group_IT_number 1
loop_
_space_group_symop_operation_xyz
'x,y,z'
loop_
_atom_site_label
_atom_site_type_symbol
_atom_site_fract_x
_atom_site_fract_y
_atom_site_fract_z
F1 F 0.6915 0.6915 0.9716
F2 F 0.6742 0.6742 0.6839
F3 F 0.2218 0.7782 0.8462
K1 K 0.0000 0.0000 0.6668
F4 F 0.3085 0.3085 0.9716
F5 F 0.1915 0.8085 0.4716
Dy1 Dy 0.0000 0.0000 0.3327
F6 F 0.1742 0.8258 0.1839
F7 F 0.3258 0.3258 0.6839
F8 F 0.7782 0.2218 0.8462
Pb1 Pb 0.0000 0.0000 0.9971
F9 F 0.8085 0.1915 0.4716
F10 F 0.2782 0.2782 0.3462
F11 F 0.7218 0.7218 0.3462
Pb2 Pb 0.5000 0.5000 0.4971
F12 F 0.8258 0.1742 0.1839
Dy2 Dy 0.5000 0.5000 0.8327
K2 K 0.5000 0.5000 0.1668
```

Results
E_form (uncorrected): -3.255 eV/atom
space group: P4_2nm, No. 102

***

# 3
DFT (GGA-PBE) results for a geometry-optimized K2DyPd3F12 structure.

CIF file:
```
data_K2DyPd3F12
_cell_length_a 8.1132
_cell_length_b 8.1132
_cell_length_c 8.1132
_cell_angle_alpha 57.53
_cell_angle_beta 57.53
_cell_angle_gamma 57.53
_space_group_name_H-M_alt 'P 1'
_space_group_IT_number 1
loop_
_space_group_symop_operation_xyz
'x,y,z'
loop_
_atom_site_label
_atom_site_type_symbol
_atom_site_fract_x
_atom_site_fract_y
_atom_site_fract_z
F1 F 0.3304 0.9230 0.9230
Pd1 Pd 0.0000 0.0000 0.5000
K1 K 0.3053 0.3053 0.3053
F2 F 0.3197 0.3197 0.9437
F3 F 0.9230 0.9230 0.3304
F4 F 0.0770 0.0770 0.6696
F5 F 0.6696 0.0770 0.0770
Pd2 Pd 0.0000 0.5000 0.0000
F6 F 0.0563 0.6803 0.6803
F7 F 0.0770 0.6696 0.0770
F8 F 0.6803 0.6803 0.0563
F9 F 0.9437 0.3197 0.3197
F10 F 0.3197 0.9437 0.3197
K2 K 0.6947 0.6947 0.6947
Pd3 Pd 0.5000 0.0000 0.0000
F11 F 0.6803 0.0563 0.6803
F12 F 0.9230 0.3304 0.9230
Dy1 Dy 0.0000 0.0000 0.0000
```

Results
E_form (uncorrected): -2.190 eV/atom
space group: R-3m, No. 166

***

# 4
DFT (GGA-PBE) results for a geometry-optimized KDyPdF6 structure.

CIF file:
```
data_KDyPdF6
_cell_length_a 5.7260
_cell_length_b 6.3685
_cell_length_c 5.7768
_cell_angle_alpha 95.71
_cell_angle_beta 93.26
_cell_angle_gamma 56.91
_space_group_name_H-M_alt 'P 1'
_space_group_IT_number 1
loop_
_space_group_symop_operation_xyz
'x,y,z'
loop_
_atom_site_label
_atom_site_type_symbol
_atom_site_fract_x
_atom_site_fract_y
_atom_site_fract_z
F1 F 0.3759 0.6823 0.2318
Dy1 Dy 0.6328 0.6834 0.4998
Pd1 Pd 0.3353 0.3319 0.4992
F2 F 0.6323 0.3715 0.6633
F3 F 0.3910 0.9345 0.7741
K1 K 0.9576 0.0206 0.9980
F4 F 0.0200 0.3290 0.3294
F5 F 0.0264 0.6489 0.6664
F6 F 0.6283 0.9980 0.3380
```

Results
E_form (uncorrected): -2.799 eV/atom
space group: P1, No. 1

***

# 5
DFT (GGA-PBE) results for a geometry-optimized K2SrDyF6 structure.

CIF file:
```
data_K2SrDyF6
_cell_length_a 6.8089
_cell_length_b 6.3994
_cell_length_c 6.8039
_cell_angle_alpha 61.94
_cell_angle_beta 56.10
_cell_angle_gamma 89.95
_space_group_name_H-M_alt 'P 1'
_space_group_IT_number 1
loop_
_space_group_symop_operation_xyz
'x,y,z'
loop_
_atom_site_label
_atom_site_type_symbol
_atom_site_fract_x
_atom_site_fract_y
_atom_site_fract_z
F1 F 0.1840 0.7113 0.0120
F2 F 0.2773 0.1850 0.5272
F3 F 0.8160 0.2887 0.9880
K1 K 0.7250 0.2754 0.4497
F4 F 0.7128 0.7234 0.0912
Sr1 Sr 0.5000 0.5000 0.0000
F5 F 0.7227 0.8150 0.4728
F6 F 0.2872 0.2766 0.9088
Dy1 Dy 0.0000 0.0000 0.0000
K2 K 0.2750 0.7246 0.5503
```

Results
E_form (uncorrected): -3.309 eV/atom
space group: P-1, No. 2

***

# 6
DFT (GGA-PBE) results for a geometry-optimized KDyTl2F6 structure.

CIF file:
```
data_KDyTl2F6
_cell_length_a 6.5053
_cell_length_b 6.7567
_cell_length_c 9.3435
_cell_angle_alpha 90.00
_cell_angle_beta 89.47
_cell_angle_gamma 90.00
_space_group_name_H-M_alt 'P 1'
_space_group_IT_number 1
loop_
_space_group_symop_operation_xyz
'x,y,z'
loop_
_atom_site_label
_atom_site_type_symbol
_atom_site_fract_x
_atom_site_fract_y
_atom_site_fract_z
K1 K 0.5000 0.0000 0.0000
F1 F 0.8994 0.5442 0.2236
Tl1 Tl 0.0102 0.9599 0.2536
Dy1 Dy 0.0000 0.5000 0.0000
F2 F 0.2205 0.1726 0.4580
F3 F 0.1680 0.2302 0.0599
K2 K 0.0000 0.5000 0.5000
F4 F 0.8320 0.7698 0.9401
F5 F 0.6006 0.0442 0.2764
F6 F 0.6680 0.2698 0.5599
F7 F 0.1006 0.4558 0.7764
F8 F 0.2795 0.6726 0.0420
F9 F 0.3994 0.9558 0.7236
Tl2 Tl 0.5102 0.5401 0.7536
F10 F 0.7205 0.3274 0.9580
F11 F 0.3320 0.7302 0.4401
Tl3 Tl 0.9898 0.0401 0.7464
Tl4 Tl 0.4898 0.4599 0.2464
Dy2 Dy 0.5000 0.0000 0.5000
F12 F 0.7795 0.8274 0.5420
```

Results
E_form (uncorrected): -2.940 eV/atom
space group: P2_1/c, No. 14

***

| no. | M_tot (μB per formula unit) |
| --- | --- |
| 1 | 0.0 |
| 2 | 0.0 |
| 3 | 5.0 |
| 4 | 0.1 |
| 5 | 0.0 |
| 6 | 0.0 |